Material: NaMoAsP2
Method: DFT, PBE
State: relaxed

As for the energy: -4.563 eV per atom. The formation enthalpy at 0 K is 92.8 kJ/mol of atoms. The total moment is 2.869 Bohr magnetons per cell.

The space group is P4/mmm (No. 123) and the conventional cell measures 4.9600, 4.9600 and 4.8087 Å, with angles of 90.00, 90.00 and 90.00 degrees. The distinct sites, in fractional coordinates, are Na at (0.0000, 0.0000, 0.0000), Mo at (0.5000, 0.5000, 0.0000), As at (0.5000, 0.5000, 0.5000) and P at (0.0000, 0.5000, 0.5000).